1.
TaCuPd6 PBE optimized geometry; D(E_F) = 0.8435 states/eV per atom; energy of formation from the pure elements = -144 meV/atom; polymorph energy (0 for the lowest one) = 0.183 eV per atom
1.0
4.997 0.000 0.000
0.041 5.002 0.000
0.012 0.098 5.016
Ta Cu Pd
1 1 6
Cartesian
0.000 0.000 0.000 Ta
2.525 2.550 2.508 Cu
0.068 3.792 2.625 Pd
1.291 2.498 4.954 Pd
2.478 4.983 1.264 Pd
2.572 0.118 3.752 Pd
3.759 2.602 0.062 Pd
4.982 1.308 2.391 Pd

***

2.
TaCu6Pd12 PBE optimized geometry; D(E_F) = 0.4394 states/eV per atom; energy of formation from the pure elements = -183 meV/atom; polymorph energy (0 for the lowest one) = 0.000 eV per atom
1.0
5.946 3.433 2.257
-5.946 3.433 2.257
0.000 -6.866 2.257
Ta Cu Pd
1 6 12
Cartesian
0.000 0.000 0.000 Ta
-3.134 -0.361 2.219 Cu
1.880 -2.534 2.219 Cu
-1.254 -2.895 4.551 Cu
1.254 2.895 2.219 Cu
-1.880 2.534 4.551 Cu
3.134 0.361 4.551 Cu
-0.329 -4.128 2.283 Pd
-3.411 2.349 2.283 Pd
-0.669 -1.443 2.252 Pd
-3.740 -1.779 4.487 Pd
-0.915 1.301 2.252 Pd
1.584 0.143 2.252 Pd
-1.584 -0.143 4.518 Pd
0.915 -1.301 4.518 Pd
3.740 1.779 2.283 Pd
0.669 1.443 4.518 Pd
3.411 -2.349 4.487 Pd
0.329 4.128 4.487 Pd